Compound: La5Sn3
Source: Alexandria via LeMat-Bulk
Functional: PBE
Structure: optimized geometry

a b c (Å): 9.557 9.557 6.932
angles (deg): 90.00 90.00 120.00
Positions (direct):
La  0.000  0.249  0.250
La  0.000  0.751  0.750
La  0.249  0.000  0.250
La  0.249  0.249  0.750
La  0.333  0.667  0.000
La  0.333  0.667  0.500
La  0.667  0.333  0.000
La  0.667  0.333  0.500
La  0.751  0.000  0.750
La  0.751  0.751  0.250
Sn  0.000  0.390  0.750
Sn  0.000  0.610  0.250
Sn  0.390  0.000  0.750
Sn  0.390  0.390  0.250
Sn  0.610  0.000  0.250
Sn  0.610  0.610  0.750

Properties
ΔE_f = -0.7001 eV/atom
Crystal system = hexagonal
Density = 6.4 g cm⁻³